Ba2NiBPd | PBE-GGA | optimized geometry

Cell: 5.862 5.862 3.840 Å, 90.00 90.00 90.00°
Positions (direct):
Ba 0.000 0.500 0.000
Ba 0.500 0.000 0.000
Ni 0.000 0.000 0.500
B 0.000 0.000 0.000
Pd 0.500 0.500 0.500

## Properties
* volume: 26.39 Å³ per atom
* space-group type: P4/mmm (123)
* DFT formation energy: 0.553 kcal/mol of atoms

***

HoCd14In | PBE-GGA | optimized geometry

Cell: 6.595 6.595 8.614 Å, 90.00 90.00 90.00°
Positions (direct):
Ho 0.000 0.000 0.000
Cd 0.000 0.000 0.500
Cd 0.000 0.500 0.000
Cd 0.000 0.500 0.500
Cd 0.249 0.249 0.258
Cd 0.249 0.249 0.742
Cd 0.249 0.751 0.258
Cd 0.249 0.751 0.742
Cd 0.500 0.000 0.000
Cd 0.500 0.000 0.500
Cd 0.500 0.500 0.500
Cd 0.751 0.249 0.258
Cd 0.751 0.249 0.742
Cd 0.751 0.751 0.258
Cd 0.751 0.751 0.742
In 0.500 0.500 0.000

## Properties
* volume: 23.41 Å³ per atom
* space-group type: P4/mmm (123)
* DFT formation energy: -0.885 kcal/mol of atoms

***

SiTcGeOs | PBE-GGA | optimized geometry

Cell: 4.260 4.260 4.260 Å, 60.00 60.00 60.00°
Positions (direct):
Si 0.000 0.000 0.000
Tc 0.250 0.250 0.250
Ge 0.500 0.500 0.500
Os 0.750 0.750 0.750

## Properties
* raw formation energy: -0.160 eV per atom
* volume: 13.67 Å³ per atom
* space-group type: F-43m (216)

***

Per-record final energy, eV per atom: -4.28, -1.30, -8.07